No. 1
ScReB4 (PBE, relaxed); energy = -48.5 eV per cell; size of the total moment = 0.0 μB per cell; energy above the lowest structure with this stoichiometry = 6.7 kJ per mole of atoms
1.0
1.088 -4.039 -1.703
1.537 -1.682 3.900
-3.854 1.385 -1.904
Sc B Re
1 4 1
Direct
0.500 0.500 0.000 Sc
0.582 0.247 0.335 B
0.088 0.753 0.335 B
0.419 0.753 0.665 B
0.912 0.247 0.665 B
0.000 0.000 0.000 Re

No. 2
ScReB4 (PBE, relaxed); energy = -48.0 eV per cell; size of the total moment = 0.0 μB per cell; energy above the lowest structure with this stoichiometry = 15.1 kJ per mole of atoms
1.0
-2.121 1.601 -1.537
-0.780 -2.602 1.431
-1.404 3.481 5.566
B Sc Re
4 1 1
Direct
0.667 0.333 0.743 B
0.667 0.333 0.257 B
0.333 0.667 0.257 B
0.333 0.667 0.743 B
0.000 0.000 0.000 Sc
0.000 0.000 0.500 Re

No. 3
Sc2ReB6 (PBE, relaxed); energy = -286.7 eV per cell; size of the total moment = 0.0 μB per cell
1.0
-6.719 4.592 -3.613
2.204 -4.602 -9.946
-2.197 -2.637 0.733
B Sc Re
24 8 4
Direct
0.370 0.682 0.500 B
0.597 0.473 0.500 B
0.205 0.764 0.500 B
0.097 0.027 0.500 B
0.747 0.578 0.500 B
0.903 0.973 0.500 B
0.403 0.527 0.500 B
0.295 0.264 0.500 B
0.247 0.922 0.500 B
0.479 0.212 0.500 B
0.630 0.318 0.500 B
0.705 0.736 0.500 B
0.979 0.288 0.500 B
0.253 0.422 0.500 B
0.021 0.712 0.500 B
0.553 0.065 0.500 B
0.521 0.788 0.500 B
0.870 0.818 0.500 B
0.447 0.935 0.500 B
0.795 0.236 0.500 B
0.753 0.078 0.500 B
0.053 0.435 0.500 B
0.947 0.565 0.500 B
0.130 0.182 0.500 B
0.321 0.087 0.000 Sc
0.679 0.913 0.000 Sc
0.556 0.629 0.000 Sc
0.056 0.871 0.000 Sc
0.444 0.371 0.000 Sc
0.179 0.587 0.000 Sc
0.944 0.129 0.000 Sc
0.821 0.413 0.000 Sc
0.640 0.180 0.000 Re
0.360 0.820 0.000 Re
0.860 0.680 0.000 Re
0.140 0.320 0.000 Re

No. 4
ScRe2B (PBE, relaxed); energy = -36.4 eV per cell; size of the total moment = 0.0 μB per cell
1.0
1.842 -3.843 0.426
-1.773 -2.953 2.545
-1.853 -3.464 -1.706
B Re Sc
1 2 1
Direct
0.500 0.500 0.500 B
0.000 0.000 0.000 Re
0.750 0.750 0.750 Re
0.250 0.250 0.250 Sc

No. 5
ScRe2B2 (PBE, relaxed); energy = -46.0 eV per cell; size of the total moment = 0.0 μB per cell
1.0
-3.681 -1.779 3.538
-3.247 3.306 2.786
1.712 -0.893 -5.050
Re B Sc
2 2 1
Direct
0.750 0.250 0.500 Re
0.250 0.750 0.500 Re
0.595 0.595 0.000 B
0.405 0.405 0.000 B
0.000 0.000 0.000 Sc

No. 6
ScReB4 (PBE, relaxed); energy = -195.6 eV per cell; size of the total moment = 0.0 μB per cell; energy above the lowest structure with this stoichiometry = 0.0 kJ per mole of atoms
1.0
-2.820 -0.555 5.100
9.189 -4.692 4.570
1.139 3.183 0.977
B Re Sc
16 4 4
Direct
0.384 0.050 0.500 B
0.133 0.969 0.500 B
0.616 0.950 0.500 B
0.867 0.031 0.500 B
0.795 0.186 0.500 B
0.518 0.804 0.500 B
0.116 0.550 0.500 B
0.482 0.196 0.500 B
0.982 0.304 0.500 B
0.633 0.531 0.500 B
0.705 0.686 0.500 B
0.367 0.469 0.500 B
0.205 0.814 0.500 B
0.884 0.450 0.500 B
0.295 0.314 0.500 B
0.018 0.696 0.500 B
0.637 0.089 0.000 Re
0.863 0.589 0.000 Re
0.137 0.411 0.000 Re
0.363 0.911 0.000 Re
0.371 0.648 0.000 Sc
0.629 0.352 0.000 Sc
0.129 0.148 0.000 Sc
0.871 0.852 0.000 Sc

No. 7
ReSiB (PBE, relaxed); energy = -23.4 eV per cell; size of the total moment = 0.0 μB per cell; energy above the lowest structure with this stoichiometry = 0.0 kJ per mole of atoms
1.0
1.701 0.161 3.278
-0.117 3.112 1.992
-1.992 0.129 3.111
Re Si B
1 1 1
Direct
0.250 0.250 0.250 Re
0.750 0.750 0.750 Si
0.000 0.000 0.000 B

No. 8
SmReB4 (PBE, relaxed); energy = -44.5 eV per cell; size of the total moment = 0.0 μB per cell; energy above the lowest structure with this stoichiometry = 8.4 kJ per mole of atoms
1.0
-1.587 2.716 3.621
1.587 -2.716 3.621
1.587 2.716 -3.621
Re Sm B
1 1 4
Direct
0.000 0.000 0.000 Re
0.500 0.500 0.000 Sm
0.591 0.253 0.337 B
0.084 0.747 0.337 B
0.409 0.747 0.663 B
0.916 0.253 0.663 B

- What is the size of the total moment in the eighth record?
  0.0 μB per cell

- What is the energy in the first record?
  -48.5 eV per cell

- size of the total moment of number 3 (Sc2ReB6)?
  0.0 μB per cell